NaTl6In12 | GGA-PBE | optimized geometry

Cell: 8.4401 8.4401 8.4401 Å, 102.63 102.63 102.63°
Last column: nearest neighbours and their distance in Å.
Fractional positions:
Na1 0.0000 0.0000 0.0000  6 Tl 3.34, 6 In 3.44
Tl1 0.1606 0.4185 0.1619  7 In 3.31-3.52, 1 Na 3.34, 2 Tl 3.39
Tl2 0.1619 0.1606 0.4185  7 In 3.31-3.52, 1 Na 3.34, 2 Tl 3.39
Tl3 0.4185 0.1619 0.1606  7 In 3.31-3.52, 1 Na 3.34, 2 Tl 3.39
Tl4 0.5815 0.8381 0.8394  7 In 3.31-3.52, 1 Na 3.34, 2 Tl 3.39
Tl5 0.8381 0.8394 0.5815  7 In 3.31-3.52, 1 Na 3.34, 2 Tl 3.39
Tl6 0.8394 0.5815 0.8381  7 In 3.31-3.52, 1 Na 3.34, 2 Tl 3.39
In1 0.0010 0.2614 0.7395  6 In 3.29-3.51, 4 Tl 3.31-3.37, 1 Na 3.44
In2 0.1866 0.5881 0.5895  5 In 3.05-3.29
In3 0.2614 0.7395 0.0010  6 In 3.29-3.51, 4 Tl 3.31-3.37, 1 Na 3.44
In4 0.2605 0.9990 0.7386  6 In 3.29-3.51, 4 Tl 3.31-3.37, 1 Na 3.44
In5 0.4105 0.8134 0.4119  5 In 3.05-3.29
In6 0.4119 0.4105 0.8134  5 In 3.05-3.29
In7 0.5881 0.5895 0.1866  5 In 3.05-3.29
In8 0.5895 0.1866 0.5881  5 In 3.05-3.29
In9 0.7395 0.0010 0.2614  6 In 3.29-3.51, 4 Tl 3.31-3.37, 1 Na 3.44
In10 0.7386 0.2605 0.9990  6 In 3.29-3.51, 4 Tl 3.31-3.37, 1 Na 3.44
In11 0.8134 0.4119 0.4105  5 In 3.05-3.29
In12 0.9990 0.7386 0.2605  6 In 3.29-3.51, 4 Tl 3.31-3.37, 1 Na 3.44

The calculated volume is 549.6 Å³/f.u. Its space-group type is R-3, No. 148. The calculation puts the energy of formation at 0.022 eV/atom. For the magnetic moment, the calculation gives 0.00 μB/f.u. For the total energy, the calculation gives -2.5245 eV/atom.



NaTl6In2 | GGA-PBE | optimized geometry

Cell: 6.7820 6.7820 11.1335 Å, 104.88 104.88 32.57°
Last column: nearest neighbours and their distance in Å.
Fractional positions:
Na1 0.0000 0.0000 0.0000  6 Tl 3.33-3.60, 4 In 3.42
Tl1 0.0129 0.0129 0.3267  2 In 3.31, 6 Tl 3.41-3.46, 1 Na 3.60
Tl2 0.3355 0.3355 0.1098  3 In 3.28-3.60, 2 Na 3.33, 5 Tl 3.41-3.65
Tl3 0.3357 0.3357 0.4379  2 In 3.36, 7 Tl 3.41-3.65
Tl4 0.6643 0.6643 0.5621  2 In 3.36, 7 Tl 3.41-3.65
Tl5 0.6645 0.6645 0.8902  3 In 3.28-3.60, 2 Na 3.33, 5 Tl 3.41-3.65
Tl6 0.9871 0.9871 0.6733  2 In 3.31, 6 Tl 3.41-3.46, 1 Na 3.60
In1 0.3249 0.3249 0.7831  7 Tl 3.28-3.60, 2 Na 3.42
In2 0.6751 0.6751 0.2169  7 Tl 3.28-3.60, 2 Na 3.42

The calculated volume is 265.6 Å³/f.u. The offset from the most stable computed form is 0.0 meV/atom. Its space-group type is C2/m, No. 12. The calculation puts the energy of formation at -0.014 eV/atom. For the magnetic moment, the calculation gives 0.00 μB/f.u. For the total energy, the calculation gives -2.3470 eV/atom.



Q: Among the records above, which one has the highest calculated volume?
A: NaTl6In12



Q: calculated volume of number 2 (NaTl6In2)?
A: 265.6 Å³/f.u.